(1)
The following is a PBEsol calculation of a relaxed structure of LiCo2Mo, from Alexandria via LeMat-Bulk.

Unit cell a=6.2826 b=6.2826 c=5.0888 alpha=90.00 beta=90.00 gamma=90.00
Space group I-42d (No. 122)
Unique sites:
Li1 0.0000 0.0000 0.0000 [4 per cell]
Co1 0.2377 0.7500 0.6250 [8 per cell]
Mo1 0.0000 0.0000 0.5000 [4 per cell]

DFT total energy, eV per atom: -6.679
N(E_F), states/eV/atom: 0.78
ΔH_f (0 K), eV per atom: 0.624



(2)
The following is a PBEsol calculation of a relaxed structure of Sr3Tl, from Alexandria via LeMat-Bulk.

Unit cell a=4.1446 b=4.1446 c=35.5902 alpha=90.00 beta=90.00 gamma=120.00
Space group R-3m (No. 166, hexagonal axes)
Unique sites:
Sr1 0.0000 0.0000 0.0000 [3 per cell]
Sr2 0.0000 0.0000 0.2342 [6 per cell]
Tl1 0.0000 0.0000 0.5000 [3 per cell]

DFT total energy, eV per atom: -2.182
N(E_F), states/eV/atom: 0.96
ΔH_f (0 K), eV per atom: -0.145



(3)
The following is a PBEsol calculation of a relaxed structure of Mn2SbAs, from Alexandria via LeMat-Bulk.

Unit cell a=7.0947 b=7.0947 c=5.7696 alpha=90.00 beta=90.00 gamma=90.00
Space group I-42d (No. 122)
Unique sites:
Mn1 0.2246 0.2500 0.1250 [8 per cell]
Sb1 0.0000 0.0000 0.5000 [4 per cell]
As1 0.0000 0.0000 0.0000 [4 per cell]

DFT total energy, eV per atom: -6.949
N(E_F), states/eV/atom: 0.75
Raw formation energy, eV/atom: 0.35



(4)
The following is a PBEsol calculation of a relaxed structure of SiAg4O4, from Alexandria via LeMat-Bulk.

Unit cell a=7.3941 b=7.3941 c=4.6419 alpha=90.00 beta=90.00 gamma=90.00
Space group P4_2/n (No. 86, origin choice 2)
Unique sites:
Si1 0.2500 0.2500 0.2500 [2 per cell]
Ag1 0.0784 0.6404 0.2061 [8 per cell]
O1 0.0778 0.1848 0.0496 [8 per cell]

DFT total energy, eV per atom: -5.396
Raw formation energy, eV/atom: -0.95



(5)
The following is a PBEsol calculation of a relaxed structure of HgPdSCl2, from Alexandria via LeMat-Bulk.

Unit cell a=4.6973 b=4.6973 c=4.7772 alpha=90.00 beta=90.00 gamma=90.00
Space group P4/mmm (No. 123)
Unique sites:
Hg1 0.0000 0.0000 0.0000 [1 per cell]
Pd1 0.5000 0.5000 0.5000 [1 per cell]
S1 0.5000 0.5000 0.0000 [1 per cell]
Cl1 0.0000 0.5000 0.5000 [2 per cell]

DFT total energy, eV per atom: -3.015
N(E_F), states/eV/atom: 0.57
Raw formation energy, eV/atom: -0.03



(6)
The following is a PBEsol calculation of a relaxed structure of Ga2PPdSe, from Alexandria via LeMat-Bulk.

Unit cell a=4.9054 b=4.9054 c=4.5870 alpha=90.00 beta=90.00 gamma=90.00
Space group P4/mmm (No. 123)
Unique sites:
Ga1 0.0000 0.5000 0.0000 [2 per cell]
P1 0.0000 0.0000 0.5000 [1 per cell]
Pd1 0.5000 0.5000 0.5000 [1 per cell]
Se1 0.5000 0.5000 0.0000 [1 per cell]

DFT total energy, eV per atom: -3.811
N(E_F), states/eV/atom: 0.55
Raw formation energy, eV/atom: 0.64